Model w:
Here is Ta4In5 after structural relaxation from Alexandria. Energies are from GGA-PBE.

a = 7.0607 Å, b = 7.0607 Å, c = 7.0607 Å
α = 94.59°, β = 94.59°, γ = 147.12°
Atoms (fractional coordinates):
In1 0.0000 0.0000 0.0000
Ta1 0.0000 0.6563 0.6563
In2 0.6709 0.6709 0.3417
In3 0.3291 0.6709 0.0000
In4 0.3291 0.3291 0.6583
Ta2 0.3437 0.0000 0.3437
Ta3 0.6563 0.0000 0.6563
Ta4 0.0000 0.3437 0.3437
In5 0.6709 0.3291 0.0000

Computed properties:
symmetry	I4/mmm (139)
magnetic moment	0.0000	μB/atom


Model x:
Here is Ta4In5 after structural relaxation from Alexandria. Energies are from GGA-PBE.

a = 8.6717 Å, b = 8.6717 Å, c = 5.6480 Å
α = 90.00°, β = 90.00°, γ = 120.00°
Atoms (fractional coordinates):
In1 0.2864 0.2864 0.2500
Ta1 0.0000 0.3863 0.2500
In2 0.0000 0.2864 0.7500
Ta2 0.3863 0.0000 0.2500
Ta3 0.0000 0.0000 0.0000
In3 0.7136 0.7136 0.7500
In4 0.6667 0.3333 0.0000
In5 0.0000 0.7136 0.2500
In6 0.6667 0.3333 0.5000
In7 0.3333 0.6667 0.0000
In8 0.3333 0.6667 0.5000
Ta4 0.0000 0.0000 0.5000
In9 0.2864 0.0000 0.7500
Ta5 0.3863 0.3863 0.7500
Ta6 0.6137 0.6137 0.2500
Ta7 0.0000 0.6137 0.7500
In10 0.7136 0.0000 0.2500
Ta8 0.6137 0.0000 0.7500

Computed properties:
symmetry	P6_3/mcm (193)
magnetic moment	0.0000	μB/atom


Stability summary: most stable model w, least stable model x.


Model w:
Here is TaInTc3 after structural relaxation from Alexandria. Energies are from GGA-PBE.

a = 4.7178 Å, b = 4.7178 Å, c = 4.7178 Å
α = 90.00°, β = 90.00°, γ = 90.00°
Last column: magnetic moment on the atom in μB.
Atoms (fractional coordinates):
Ta1 0.5000 0.5000 0.5000  -0.06
Tc1 0.0000 0.5000 0.0000  0.21
In1 0.0000 0.0000 0.0000  0.00
Tc2 0.0000 0.0000 0.5000  0.17
Tc3 0.5000 0.0000 0.0000  0.15

Computed properties:
symmetry	Pm-3m (221)
magnetic moment	0.1024	μB/atom


Model x:
Here is TaInTc3 after structural relaxation from Alexandria. Energies are from GGA-PBE.

a = 4.7673 Å, b = 4.7673 Å, c = 4.7673 Å
α = 90.00°, β = 90.00°, γ = 90.00°
Last column: magnetic moment on the atom in μB.
Atoms (fractional coordinates):
Ta1 0.0000 0.0000 0.0000  -0.13
Tc1 0.0000 0.0000 0.5000  0.93
Tc2 0.0000 0.5000 0.0000  0.86
In1 0.5000 0.5000 0.5000  -0.04
Tc3 0.5000 0.0000 0.0000  0.84

Computed properties:
symmetry	Pm-3m (221)
magnetic moment	0.5409	μB/atom


Stability summary: most stable model x, least stable model w.


Model w:
Here is TaInTe4 after structural relaxation from Alexandria. Energies are from GGA-PBE.

a = 6.2977 Å, b = 6.2977 Å, c = 6.2977 Å
α = 60.00°, β = 60.00°, γ = 60.00°
Last column: magnetic moment on the atom in μB.
Atoms (fractional coordinates):
In1 0.7500 0.7500 0.7500  0.05
Te1 0.3739 0.3739 0.3739  0.00
Te2 0.3739 0.8782 0.3739  0.00
Ta1 0.0000 0.0000 0.0000  1.94
Te3 0.8782 0.3739 0.3739  0.00
Te4 0.3739 0.3739 0.8782  0.00

Computed properties:
symmetry	F-43m (216)
magnetic moment	0.5432	μB/atom


Model x:
Here is TaInTe4 after structural relaxation from Alexandria. Energies are from GGA-PBE.

a = 3.8459 Å, b = 7.5504 Å, c = 12.7833 Å
α = 93.32°, β = 90.00°, γ = 90.00°
Atoms (fractional coordinates):
Te1 0.5000 0.1945 0.3666
Te2 0.5000 0.1449 0.8688
Te3 0.5000 0.8551 0.1312
In1 0.0000 0.0000 0.5000
Te4 0.0000 0.3055 0.1334
In2 0.5000 0.5000 0.0000
Ta1 0.0000 0.0000 0.0000
Te5 0.0000 0.6945 0.8666
Ta2 0.5000 0.5000 0.5000
Te6 0.0000 0.3551 0.6312
Te7 0.0000 0.6449 0.3688
Te8 0.5000 0.8055 0.6334

Computed properties:
symmetry	C2/m (12)
magnetic moment	0.0000	μB/atom


Stability summary: most stable model x, least stable model w.


Model w:
Here is TaTi5In4 after structural relaxation from Alexandria. Energies are from GGA-PBE.

a = 3.4233 Å, b = 3.4233 Å, c = 16.1038 Å
α = 90.00°, β = 90.00°, γ = 90.00°
Atoms (fractional coordinates):
In1 0.0000 0.0000 0.4011
Ti1 0.5000 0.5000 0.3027
Ti2 0.5000 0.5000 0.6973
Ta1 0.0000 0.0000 0.0000
In2 0.0000 0.0000 0.8045
In3 0.0000 0.0000 0.1955
Ti3 0.5000 0.5000 0.9087
Ti4 0.5000 0.5000 0.0913
In4 0.0000 0.0000 0.5989
Ti5 0.5000 0.5000 0.5000

Computed properties:
symmetry	P4/mmm (123)
magnetic moment	0.0064	μB/atom


Model x:
Here is TaTi5In4 after structural relaxation from Alexandria. Energies are from GGA-PBE.

a = 2.9904 Å, b = 2.9904 Å, c = 21.2776 Å
α = 90.00°, β = 90.00°, γ = 90.00°
Atoms (fractional coordinates):
Ti1 0.5000 0.5000 0.7005
Ti2 0.5000 0.5000 0.0947
In1 0.0000 0.0000 0.8007
Ti3 0.5000 0.5000 0.5000
In2 0.0000 0.0000 0.3997
In3 0.0000 0.0000 0.6003
Ta1 0.0000 0.0000 0.0000
Ti4 0.5000 0.5000 0.2995
In4 0.0000 0.0000 0.1993
Ti5 0.5000 0.5000 0.9053

Computed properties:
symmetry	P4/mmm (123)
magnetic moment	0.0000	μB/atom


Stability summary: most stable model x, least stable model w.